*one*
TlMoH3: optimized geometry, PBE.

Lattice parameters (Å, degrees): 3.8028 3.8028 3.8028 90.00 90.00 90.00
Fractional positions:
Tl: 0.0000 0.0000 0.0000
Mo: 0.5000 0.5000 0.5000
H: 0.0000 0.0000 0.5000
H: 0.0000 0.5000 0.0000
H: 0.5000 0.0000 0.0000

Results
**SG**: Pm-3m (221)

=====

*two*
TlMoH3: optimized geometry, PBE.

Lattice parameters (Å, degrees): 3.7123 3.7123 3.7123 90.00 90.00 90.00
Fractional positions:
Tl: 0.0000 0.0000 0.0000
Mo: 0.5000 0.5000 0.5000
H: 0.0000 0.5000 0.5000
H: 0.5000 0.0000 0.5000
H: 0.5000 0.5000 0.0000

Results
**SG**: Pm-3m (221)

=====

What should be chosen as the most stable of them? Choose *two*.

=====

*one*
Tl3MoH: optimized geometry, PBE.

Lattice parameters (Å, degrees): 5.4261 5.4261 5.4261 90.00 90.00 90.00
Fractional positions:
Tl: 0.0000 0.0000 0.5000
Tl: 0.0000 0.5000 0.0000
Tl: 0.5000 0.0000 0.0000
Mo: 0.0000 0.0000 0.0000
H: 0.5000 0.5000 0.5000

Results
**SG**: Pm-3m (221)

=====

*two*
Tl3MoH: optimized geometry, PBE.

Lattice parameters (Å, degrees): 4.6664 4.6664 4.6664 90.00 90.00 90.00
Fractional positions:
Tl: 0.0000 0.0000 0.5000
Tl: 0.0000 0.5000 0.0000
Tl: 0.5000 0.0000 0.0000
Mo: 0.5000 0.5000 0.5000
H: 0.0000 0.0000 0.0000

Results
**SG**: Pm-3m (221)

=====

What should be chosen as the most stable of them? Choose *two*.

=====

*one*
UMoH: optimized geometry, PBE.

Lattice parameters (Å, degrees): 5.7266 5.7266 5.7266 152.56 152.56 39.20
Fractional positions:
U: 0.0000 0.0000 0.0000
Mo: 0.2698 0.2698 0.0000
H: 0.6864 0.6864 0.0000

Results
**SG**: I4mm (107)

=====

*two*
UMoH: optimized geometry, PBE.

Lattice parameters (Å, degrees): 3.1510 7.2370 7.4024 88.55 86.14 80.82
Fractional positions:
U: 0.1152 0.2214 0.0641
U: 0.3845 0.7122 0.2359
U: 0.6155 0.2878 0.7641
U: 0.8848 0.7786 0.9359
Mo: 0.2434 0.9648 0.6434
Mo: 0.2479 0.3407 0.4369
Mo: 0.7521 0.6593 0.5631
Mo: 0.7566 0.0352 0.3566
H: 0.0433 0.4647 0.8841
H: 0.4902 0.6030 0.7896
H: 0.5098 0.3970 0.2104
H: 0.9567 0.5353 0.1159

Results
**SG**: P-1 (2)

=====

What should be chosen as the most stable of them? Choose *two*.

=====

*one*
VMoH2: optimized geometry, PBE.

Lattice parameters (Å, degrees): 5.2035 5.2035 5.2035 31.55 31.55 31.55
Fractional positions:
V: 0.0000 0.0000 0.0000
Mo: 0.8285 0.8285 0.8285
H: 0.4043 0.4043 0.4043
H: 0.5891 0.5891 0.5891

Results
**SG**: R3m (160)

=====

*two*
VMoH2: optimized geometry, PBE.

Lattice parameters (Å, degrees): 2.8443 2.8655 4.9455 90.01 90.17 119.72
Fractional positions:
V: 0.0000 0.0000 0.0000
Mo: 0.3353 0.6649 0.4799
H: 0.0060 0.0041 0.6476
H: 0.6685 0.3339 0.2232

Results
**SG**: P1 (1)

=====

What should be chosen as the most stable of them? Choose *two*.

=====

*one*
V2MoH2: optimized geometry, PBE.

Lattice parameters (Å, degrees): 5.7006 5.7006 3.0350 90.00 90.00 90.00
Fractional positions:
V: 0.1622 0.3378 0.0000
V: 0.3378 0.8378 0.0000
V: 0.6622 0.1622 0.0000
V: 0.8378 0.6622 0.0000
Mo: 0.0000 0.0000 0.5000
Mo: 0.5000 0.5000 0.5000
H: 0.1704 0.6704 0.5000
H: 0.3296 0.1704 0.5000
H: 0.6704 0.8296 0.5000
H: 0.8296 0.3296 0.5000

Results
**SG**: P4/mbm (127)

=====

*two*
V2MoH2: optimized geometry, PBE.

Lattice parameters (Å, degrees): 4.4855 5.2439 5.2469 95.74 115.16 115.09
Fractional positions:
V: 0.0990 0.2621 0.4204
V: 0.2545 0.7574 0.2541
V: 0.7455 0.2426 0.7459
V: 0.9010 0.7379 0.5796
Mo: 0.4136 0.2536 0.0871
Mo: 0.5864 0.7464 0.9129
H: 0.1132 0.6185 0.8741
H: 0.2438 0.9977 0.5078
H: 0.7562 0.0023 0.4922
H: 0.8868 0.3815 0.1259

Results
**SG**: P-1 (2)

=====

*three*
V2MoH2: optimized geometry, PBE.

Lattice parameters (Å, degrees): 5.2688 5.2688 5.2688 145.29 145.29 49.91
Fractional positions:
V: 0.1569 0.1569 0.0000
V: 0.8431 0.8431 0.0000
Mo: 0.5000 0.5000 0.0000
H: 0.2500 0.7500 0.5000
H: 0.7500 0.2500 0.5000

Results
**SG**: I4/mmm (139)

=====

What should be chosen as the most stable of them? Choose *three*.

=====

*one*
V2MoH: optimized geometry, PBE.

Lattice parameters (Å, degrees): 6.4259 6.4259 6.4259 26.30 26.30 26.30
Fractional positions:
V: 0.2272 0.2272 0.2272
V: 0.7728 0.7728 0.7728
Mo: 0.0000 0.0000 0.0000
H: 0.5000 0.5000 0.5000

Results
**SG**: R-3m (166)

=====

*two*
V2MoH: optimized geometry, PBE.

Lattice parameters (Å, degrees): 5.1516 5.1516 5.1516 60.00 60.00 60.00
Fractional positions:
V: 0.0000 0.0000 0.0000
V: 0.0000 0.0000 0.5000
V: 0.0000 0.5000 0.0000
V: 0.5000 0.0000 0.0000
Mo: 0.3750 0.3750 0.3750
Mo: 0.6250 0.6250 0.6250
H: 0.1250 0.1250 0.1250
H: 0.8750 0.8750 0.8750

Results
**SG**: Fd-3m (227)

=====

*three*
V2MoH: optimized geometry, PBE.

Lattice parameters (Å, degrees): 4.1543 4.1543 4.1543 60.00 60.00 60.00
Fractional positions:
V: 0.2500 0.2500 0.2500
V: 0.7500 0.7500 0.7500
Mo: 0.0000 0.0000 0.0000
H: 0.5000 0.5000 0.5000

Results
**SG**: Fm-3m (225)

=====

What should be chosen as the most stable of them? Choose *one*.

=====

*one*
VMoH3: optimized geometry, PBE.

Lattice parameters (Å, degrees): 5.1684 4.7225 5.8656 90.00 90.45 90.00
Fractional positions:
V: 0.0732 0.2497 0.3781
V: 0.0732 0.2503 0.8781
V: 0.9268 0.7497 0.1219
V: 0.9268 0.7503 0.6219
Mo: 0.4021 0.7346 0.3751
Mo: 0.4021 0.7654 0.8751
Mo: 0.5979 0.2346 0.1249
Mo: 0.5979 0.2654 0.6249
H: 0.1871 0.0151 0.6456
H: 0.1871 0.4849 0.1456
H: 0.2067 0.5007 0.6054
H: 0.2067 0.9993 0.1054
H: 0.4035 0.1299 0.3785
H: 0.4035 0.3701 0.8785
H: 0.5965 0.6299 0.1215
H: 0.5965 0.8701 0.6215
H: 0.7933 0.0007 0.8946
H: 0.7933 0.4993 0.3946
H: 0.8129 0.5151 0.8544
H: 0.8129 0.9849 0.3544

Results
**SG**: P2_1/c (14)

=====

*two*
VMoH3: optimized geometry, PBE.

Lattice parameters (Å, degrees): 3.4782 3.4782 3.4782 90.00 90.00 90.00
Fractional positions:
V: 0.0000 0.0000 0.0000
Mo: 0.5000 0.5000 0.5000
H: 0.0000 0.5000 0.5000
H: 0.5000 0.0000 0.5000
H: 0.5000 0.5000 0.0000

Results
**SG**: Pm-3m (221)

=====

What should be chosen as the most stable of them? Choose *one*.

=====

*one*
VMo2H4: optimized geometry, PBE.

Lattice parameters (Å, degrees): 5.5318 5.5318 5.5318 119.94 119.94 90.10
Fractional positions:
V: 0.3750 0.6250 0.7500
V: 0.6250 0.3750 0.2500
Mo: 0.0000 0.0000 0.0000
Mo: 0.0000 0.0000 0.5000
Mo: 0.0000 0.5000 0.0000
Mo: 0.5000 0.0000 0.5000
H: 0.2317 0.2442 0.9875
H: 0.2434 0.7558 0.4875
H: 0.2442 0.2317 0.4875
H: 0.2442 0.7566 0.0125
H: 0.7558 0.2434 0.9875
H: 0.7558 0.7683 0.5125
H: 0.7566 0.2442 0.5125
H: 0.7683 0.7558 0.0125

Results
**SG**: I4_1/amd (141)

=====

*two*
VMo2H4: optimized geometry, PBE.

Lattice parameters (Å, degrees): 5.8436 5.8436 5.8436 148.26 148.26 45.51
Fractional positions:
V: 0.0000 0.0000 0.0000
Mo: 0.3443 0.3443 0.0000
Mo: 0.6557 0.6557 0.0000
H: 0.0000 0.5000 0.5000
H: 0.1680 0.1680 0.0000
H: 0.5000 0.0000 0.5000
H: 0.8320 0.8320 0.0000

Results
**SG**: I4/mmm (139)

=====

What should be chosen as the most stable of them? Choose *one*.

=====

*one*
V2MoH4: optimized geometry, PBE.

Lattice parameters (Å, degrees): 5.3490 5.3490 5.3490 120.15 120.02 89.86
Fractional positions:
V: 0.0000 0.0000 0.0000
V: 0.5000 0.0000 0.0000
V: 0.5000 0.0000 0.5000
V: 0.5000 0.5000 0.5000
Mo: 0.1249 0.3749 0.7500
Mo: 0.8751 0.6251 0.2500
H: 0.2623 0.2368 0.0256
H: 0.2633 0.2377 0.4744
H: 0.2633 0.7889 0.0256
H: 0.2888 0.7632 0.5256
H: 0.7112 0.2368 0.4744
H: 0.7367 0.2111 0.9744
H: 0.7367 0.7623 0.5256
H: 0.7377 0.7632 0.9744

Results
**SG**: Imma (74)

=====

*two*
V2MoH4: optimized geometry, PBE.

Lattice parameters (Å, degrees): 5.3949 5.3949 5.3949 140.68 140.68 56.82
Fractional positions:
V: 0.1153 0.1153 0.0000
V: 0.8847 0.8847 0.0000
Mo: 0.5000 0.5000 0.0000
H: 0.0000 0.5000 0.5000
H: 0.3114 0.3114 0.0000
H: 0.5000 0.0000 0.5000
H: 0.6886 0.6886 0.0000

Results
**SG**: I4/mmm (139)

=====

What should be chosen as the most stable of them? Choose *one*.

=====

*one*
Mo2H2W: optimized geometry, PBE.

Lattice parameters (Å, degrees): 5.8963 5.8963 5.8963 149.07 149.07 44.31
Fractional positions:
Mo: 0.1464 0.1464 0.0000
Mo: 0.8536 0.8536 0.0000
H: 0.2500 0.7500 0.5000
H: 0.7500 0.2500 0.5000
W: 0.5000 0.5000 0.0000

Results
**SG**: I4/mmm (139)

=====

*two*
Mo2H2W: optimized geometry, PBE.

Lattice parameters (Å, degrees): 5.9835 5.9835 3.0878 90.00 90.00 90.00
Fractional positions:
Mo: 0.1543 0.3457 0.0000
Mo: 0.3457 0.8457 0.0000
Mo: 0.6543 0.1543 0.0000
Mo: 0.8457 0.6543 0.0000
H: 0.2066 0.7066 0.5000
H: 0.2934 0.2066 0.5000
H: 0.7066 0.7934 0.5000
H: 0.7934 0.2934 0.5000
W: 0.0000 0.0000 0.5000
W: 0.5000 0.5000 0.5000

Results
**SG**: P4/mbm (127)

=====

What should be chosen as the most stable of them? Choose *one*.

=====

*one*
MoHW3: optimized geometry, PBE.

Lattice parameters (Å, degrees): 4.7449 4.7449 4.7449 90.00 90.00 90.00
Fractional positions:
Mo: 0.0000 0.0000 0.0000
H: 0.5000 0.5000 0.5000
W: 0.0000 0.0000 0.5000
W: 0.0000 0.5000 0.0000
W: 0.5000 0.0000 0.0000

Results
**SG**: Pm-3m (221)

=====

*two*
MoHW3: optimized geometry, PBE.

Lattice parameters (Å, degrees): 4.0669 4.0669 4.0669 90.00 90.00 90.00
Fractional positions:
Mo: 0.0000 0.0000 0.0000
H: 0.5000 0.5000 0.5000
W: 0.0000 0.5000 0.5000
W: 0.5000 0.0000 0.5000
W: 0.5000 0.5000 0.0000

Results
**SG**: Pm-3m (221)

=====

What should be chosen as the most stable of them? Choose *two*.